Entry 1:
RbAg2As2 | meta-GGA SCAN | PBEsol geometry

Properties
V (Å³/cell): 224.2
Energy of formation from the pure elements (eV/f.u.): -0.99

a = 4.597 Å, b = 4.597 Å, c = 10.606 Å
α = 90.00°, β = 90.00°, γ = 90.00°
Space group I4/mmm (No. 139)
Symmetry-distinct sites (fractional):
Rb: 0.000 0.000 0.000 (multiplicity 2)
Ag: 0.000 0.500 0.250 (multiplicity 4)
As: 0.000 0.000 0.383 (multiplicity 4)


Entry 2:
SrTcRu2 | meta-GGA SCAN | PBEsol geometry

Properties
V (Å³/cell): 65.8
Energy of formation from the pure elements (eV/f.u.): 4.39
Energy relative to the lowest polymorph listed for this composition (meV per atom): 595

a = 2.954 Å, b = 4.636 Å, c = 4.804 Å
α = 90.00°, β = 90.00°, γ = 90.00°
Space group Pmmm (No. 47)
Symmetry-distinct sites (fractional):
Sr: 0.000 0.000 0.000 (multiplicity 1)
Tc: 0.500 0.000 0.500 (multiplicity 1)
Ru: 0.000 0.500 0.500 (multiplicity 1)
Ru: 0.500 0.500 0.000 (multiplicity 1)


Entry 3:
BeRe2TcAg | meta-GGA SCAN | PBEsol geometry

Properties
V (Å³/cell): 88.4
Energy of formation from the pure elements (eV/f.u.): 8.83

a = 4.623 Å, b = 4.623 Å, c = 4.134 Å
α = 90.00°, β = 90.00°, γ = 90.00°
Space group P4/mmm (No. 123)
Symmetry-distinct sites (fractional):
Be: 0.000 0.000 0.000 (multiplicity 1)
Re: 0.000 0.500 0.500 (multiplicity 2)
Tc: 0.000 0.000 0.500 (multiplicity 1)
Ag: 0.500 0.500 0.000 (multiplicity 1)


Entry 4:
BaTa4Re | meta-GGA SCAN | PBEsol geometry

Properties
V (Å³/cell): 476.8
Energy of formation from the pure elements (eV/f.u.): 5.84

a = 7.812 Å, b = 7.812 Å, c = 7.812 Å
α = 90.00°, β = 90.00°, γ = 90.00°
Space group F-43m (No. 216)
Symmetry-distinct sites (fractional):
Ba: 0.000 0.000 0.000 (multiplicity 4)
Ta: 0.125 0.125 0.625 (multiplicity 16)
Re: 0.250 0.250 0.250 (multiplicity 4)


Entry 5:
Cu2As | meta-GGA SCAN | PBEsol geometry

Properties
V (Å³/cell): 162.2
Energy of formation from the pure elements (eV/f.u.): 0.19

a = 4.947 Å, b = 3.714 Å, c = 8.830 Å
α = 90.00°, β = 90.00°, γ = 90.00°
Space group Pnma (No. 62)
Symmetry-distinct sites (fractional):
Cu: 0.108 0.250 0.231 (multiplicity 4)
Cu: 0.141 0.250 0.926 (multiplicity 4)
As: 0.137 0.250 0.618 (multiplicity 4)


Entry 6:
Zr5Te4 | meta-GGA SCAN | PBEsol geometry

Properties
V (Å³/cell): 437.2
Formation energy from raw total energies (eV per atom): -0.928

a = 10.721 Å, b = 10.721 Å, c = 3.804 Å
α = 90.00°, β = 90.00°, γ = 90.00°
Space group I4/m (No. 87)
Symmetry-distinct sites (fractional):
Zr: 0.000 0.000 0.000 (multiplicity 2)
Zr: 0.132 0.809 0.500 (multiplicity 8)
Te: 0.051 0.283 0.000 (multiplicity 8)


Entry 7:
KMnW2 | meta-GGA SCAN | PBEsol geometry

Properties
V (Å³/cell): 84.4
Energy of formation from the pure elements (eV/f.u.): 3.95
Energy relative to the lowest polymorph listed for this composition (meV per atom): 0

a = 2.720 Å, b = 4.169 Å, c = 7.456 Å
α = 90.00°, β = 93.02°, γ = 90.00°
Space group Pm (No. 6)
Symmetry-distinct sites (fractional):
K: 0.000 0.000 0.000 (multiplicity 1)
Mn: 0.875 0.500 0.351 (multiplicity 1)
W: 0.141 0.500 0.636 (multiplicity 1)
W: 0.509 0.000 0.469 (multiplicity 1)


Entry 8:
Ba3TlC | meta-GGA SCAN | PBEsol geometry

Properties
V (Å³/cell): 179.3
Energy of formation from the pure elements (eV/f.u.): 0.81

a = 5.639 Å, b = 5.639 Å, c = 5.639 Å
α = 90.00°, β = 90.00°, γ = 90.00°
Space group Pm-3m (No. 221)
Symmetry-distinct sites (fractional):
Ba: 0.000 0.000 0.500 (multiplicity 3)
Tl: 0.500 0.500 0.500 (multiplicity 1)
C: 0.000 0.000 0.000 (multiplicity 1)


Entry 9:
MnCd8 | meta-GGA SCAN | PBEsol geometry

Properties
V (Å³/cell): 354.2
Energy of formation from the pure elements (eV/f.u.): 0.15

a = 9.052 Å, b = 9.052 Å, c = 4.323 Å
α = 90.00°, β = 90.00°, γ = 90.00°
Space group I4/mmm (No. 139)
Symmetry-distinct sites (fractional):
Mn: 0.000 0.000 0.000 (multiplicity 2)
Cd: 0.000 0.328 0.000 (multiplicity 8)
Cd: 0.163 0.163 0.500 (multiplicity 8)


Entry 10:
CsPt3N | meta-GGA SCAN | PBEsol geometry

Properties
V (Å³/cell): 136.3
Formation energy from raw total energies (eV per atom): 3.198

a = 5.146 Å, b = 5.146 Å, c = 5.146 Å
α = 90.00°, β = 90.00°, γ = 90.00°
Space group Pm-3m (No. 221)
Symmetry-distinct sites (fractional):
Cs: 0.000 0.000 0.000 (multiplicity 1)
Pt: 0.000 0.000 0.500 (multiplicity 3)
N: 0.500 0.500 0.500 (multiplicity 1)


Entry 11:
Ba3ErMn2O9 | meta-GGA SCAN | PBEsol geometry

Properties
V (Å³/cell): 404.9
Formation energy from raw total energies (eV per atom): -2.858

a = 5.7557 Å, b = 5.7557 Å, c = 14.1114 Å
α = 90.00°, β = 90.00°, γ = 120.00°
Space group P6_3/mmc (No. 194)
Symmetry-distinct sites (fractional):
Ba: 0.0000 0.0000 0.2500 (multiplicity 2)
Ba: 0.3333 0.6667 0.0971 (multiplicity 4)
Er: 0.0000 0.0000 0.0000 (multiplicity 2)
Mn: 0.3333 0.6667 0.6585 (multiplicity 4)
O: 0.0442 0.5221 0.7500 (multiplicity 6)
O: 0.1784 0.3568 0.5892 (multiplicity 12)


Entry 12:
ReNiHg2 | meta-GGA SCAN | PBEsol geometry

Properties
V (Å³/cell): 130.3
Energy of formation from the pure elements (eV/f.u.): 3.72
Energy relative to the lowest polymorph listed for this composition (meV per atom): 505

a = 4.138 Å, b = 4.138 Å, c = 7.608 Å
α = 90.00°, β = 90.00°, γ = 90.00°
Space group I4/mmm (No. 139)
Symmetry-distinct sites (fractional):
Re: 0.000 0.000 0.000 (multiplicity 2)
Ni: 0.000 0.000 0.500 (multiplicity 2)
Hg: 0.000 0.500 0.250 (multiplicity 4)